VASP calculation (PBE-GGA) on a relaxed PrSmBi2 crystal.

abc: 4.563 4.563 23.481
angles: 90.00 90.00 120.00
Positions (direct):
Pr  0.000  0.000  0.000
Pr  0.333  0.667  0.667
Pr  0.667  0.333  0.333
Sm  0.000  0.000  0.829
Sm  0.333  0.667  0.496
Sm  0.667  0.333  0.162
Bi  0.000  0.000  0.415
Bi  0.000  0.000  0.581
Bi  0.333  0.667  0.081
Bi  0.333  0.667  0.247
Bi  0.667  0.333  0.748
Bi  0.667  0.333  0.914

Summary:
Energy relative to the lowest polymorph listed for this composition ... 113 meV per atom
DFT formation energy ... -829 meV per atom